No. 1
Here is Li10Zn6Cu after structural relaxation from the Alexandria database. Energies are from PBE.

a = 5.4445 Å, b = 7.5256 Å, c = 7.5256 Å
α = 120.00°, β = 90.00°, γ = 90.00°
With the nearest neighbours (Å) after each atom.
Sites, in units of the cell vectors:
Zn (0.3646, 0.6613, 0.6613)  6 Li 2.60-2.86, 1 Cu 2.65, 1 Zn 2.84
Li (0.5000, 0.6667, 0.3333)  6 Zn 2.60, 2 Li 2.72
Li (0.0000, 0.3333, 0.6667)  8 Li 2.72-2.78
Li (0.5000, 0.3333, 0.6667)  6 Zn 2.60, 2 Li 2.72
Li (0.8418, 0.0000, 0.3006)  4 Zn 2.61-2.86, 4 Li 2.78-2.84
Zn (0.6354, 0.3387, 0.3387)  6 Li 2.60-2.86, 1 Cu 2.65, 1 Zn 2.84
Zn (0.6354, 0.0000, 0.6613)  6 Li 2.60-2.86, 1 Cu 2.65, 1 Zn 2.84
Cu (0.5000, 0.0000, 0.0000)  6 Zn 2.65, 6 Li 2.93
Li (0.0000, 0.6667, 0.3333)  8 Li 2.72-2.78
Zn (0.3646, 0.0000, 0.3387)  6 Li 2.60-2.86, 1 Cu 2.65, 1 Zn 2.84
Zn (0.6354, 0.6613, 0.0000)  6 Li 2.60-2.86, 1 Cu 2.65, 1 Zn 2.84
Li (0.1582, 0.3006, 0.3006)  4 Zn 2.61-2.86, 4 Li 2.78-2.84
Zn (0.3646, 0.3387, 0.0000)  6 Li 2.60-2.86, 1 Cu 2.65, 1 Zn 2.84
Li (0.1582, 0.0000, 0.6994)  4 Zn 2.61-2.86, 4 Li 2.78-2.84
Li (0.8418, 0.3006, 0.0000)  4 Zn 2.61-2.86, 4 Li 2.78-2.84
Li (0.1582, 0.6994, 0.0000)  4 Zn 2.61-2.86, 4 Li 2.78-2.84
Li (0.8418, 0.6994, 0.6994)  4 Zn 2.61-2.86, 4 Li 2.78-2.84

Summary:
* formation energy from the elements: -0.097 eV/atom
* DFT total energy: -1.913 eV per atom
* space-group type: P-31m (162)

---

No. 2
Here is LiZn2Cu2 after structural relaxation from the Alexandria database. Energies are from PBE.

a = 3.5737 Å, b = 3.5737 Å, c = 6.4893 Å
α = 74.02°, β = 74.02°, γ = 90.00°
With the nearest neighbours (Å) after each atom.
Sites, in units of the cell vectors:
Cu (0.2500, 0.7500, 0.5000)  4 Zn 2.50, 4 Cu 2.53
Cu (0.7500, 0.2500, 0.5000)  4 Zn 2.50, 4 Cu 2.53
Li (0.0000, 0.0000, 0.0000)  8 Zn 2.81
Zn (0.6032, 0.6032, 0.7935)  1 Zn 2.47, 4 Cu 2.50
Zn (0.3968, 0.3968, 0.2065)  1 Zn 2.47, 4 Cu 2.50

Summary:
* formation energy from the elements: -0.002 eV/atom
* energy relative to the lowest polymorph listed for this composition: 129 meV per atom
* DFT total energy: -2.533 eV per atom
* space-group type: I4/mmm (139)

---

No. 3
Here is LiZn4Cu3 after structural relaxation from the Alexandria database. Energies are from PBE.

a = 4.1931 Å, b = 5.9845 Å, c = 8.3864 Å
α = 90.00°, β = 90.00°, γ = 90.00°
With the nearest neighbours (Å) after each atom.
Sites, in units of the cell vectors:
Cu (0.4993, 0.0000, 0.2500)  8 Zn 2.57
Cu (0.5005, 0.5000, 0.7500)  8 Zn 2.58
Cu (0.5007, 0.0000, 0.7500)  8 Zn 2.57
Li (0.0000, 0.5000, 0.5000)  8 Zn 2.58
Zn (0.5000, 0.2492, 0.5000)  6 Cu 2.57-2.58, 2 Li 2.58
Cu (0.0000, 0.0000, 0.0000)  8 Zn 2.57
Zn (0.0006, 0.2493, 0.7500)  6 Cu 2.57-2.58, 2 Li 2.58
Cu (0.4995, 0.5000, 0.2500)  8 Zn 2.58
Zn (0.0006, 0.7507, 0.7500)  6 Cu 2.57-2.58, 2 Li 2.58
Li (0.0000, 0.5000, 0.0000)  8 Zn 2.58
Zn (0.9994, 0.7507, 0.2500)  6 Cu 2.57-2.58, 2 Li 2.58
Zn (0.5000, 0.2492, 0.0000)  6 Cu 2.57-2.58, 2 Li 2.58
Zn (0.5000, 0.7508, 0.0000)  6 Cu 2.57-2.58, 2 Li 2.58
Zn (0.5000, 0.7508, 0.5000)  6 Cu 2.57-2.58, 2 Li 2.58
Zn (0.9994, 0.2493, 0.2500)  6 Cu 2.57-2.58, 2 Li 2.58
Cu (0.0000, 0.0000, 0.5000)  8 Zn 2.57

Summary:
* formation energy from the elements: -0.126 eV/atom
* energy relative to the lowest polymorph listed for this composition: 0 meV per atom
* DFT total energy: -2.538 eV per atom
* space-group type: P4/mmm (123)

---

No. 4
Here is Li8ZnCu6 after structural relaxation from the Alexandria database. Energies are from PBE.

a = 6.0967 Å, b = 6.0967 Å, c = 6.0967 Å
α = 79.77°, β = 79.77°, γ = 79.77°
With the nearest neighbours (Å) after each atom.
Sites, in units of the cell vectors:
Li (0.0645, 0.8248, 0.3793)  1 Zn 2.44, 4 Cu 2.45-2.72, 1 Li 2.72
Li (0.1752, 0.6207, 0.9355)  1 Zn 2.44, 4 Cu 2.45-2.72, 1 Li 2.72
Li (0.3793, 0.0645, 0.8248)  1 Zn 2.44, 4 Cu 2.45-2.72, 1 Li 2.72
Li (0.9355, 0.1752, 0.6207)  1 Zn 2.44, 4 Cu 2.45-2.72, 1 Li 2.72
Li (0.7630, 0.7630, 0.7630)  3 Cu 2.62, 6 Li 2.72-2.83, 1 Zn 2.91
Cu (0.2053, 0.4542, 0.5788)  5 Li 2.45-2.72, 4 Cu 2.58-2.61
Li (0.8248, 0.3793, 0.0645)  1 Zn 2.44, 4 Cu 2.45-2.72, 1 Li 2.72
Li (0.2370, 0.2370, 0.2370)  3 Cu 2.62, 6 Li 2.72-2.83, 1 Zn 2.91
Cu (0.4212, 0.7947, 0.5458)  5 Li 2.45-2.72, 4 Cu 2.58-2.61
Cu (0.5788, 0.2053, 0.4542)  5 Li 2.45-2.72, 4 Cu 2.58-2.61
Zn (0.0000, 0.0000, 0.0000)  6 Li 2.44
Cu (0.7947, 0.5458, 0.4212)  5 Li 2.45-2.72, 4 Cu 2.58-2.61
Cu (0.5458, 0.4212, 0.7947)  5 Li 2.45-2.72, 4 Cu 2.58-2.61
Li (0.6207, 0.9355, 0.1752)  1 Zn 2.44, 4 Cu 2.45-2.72, 1 Li 2.72
Cu (0.4542, 0.5788, 0.2053)  5 Li 2.45-2.72, 4 Cu 2.58-2.61

Summary:
* formation energy from the elements: 0.061 eV/atom
* DFT total energy: -2.684 eV per atom
* space-group type: R-3 (148)